1.
A plane-wave DFT calculation with meta-GGA SCAN was carried out for a crystal of CoAs2Rh relaxed with PBEsol.

Structure (POSCAR):
```
CoAs2Rh
1.0
2.853 0.000 0.000
0.000 3.525 0.007
-1.426 -1.774 5.684
Rh As Co
1 2 1
Cartesian
1.426 -0.007 3.522
0.000 1.758 2.270
1.426 1.752 5.283
1.426 1.762 0.311
```

Calculated values
SG: Imm2, No. 44
Theoretical density, g/cm³: 9.0
Total energy, eV per atom: -23.009
Density of states at the Fermi level, states/eV per cell: 2.62
Polymorph energy (0 for the lowest one), meV per atom: 0


2.
A plane-wave DFT calculation with meta-GGA SCAN was carried out for a crystal of Ba2TeBr relaxed with PBEsol.

Structure (POSCAR):
```
Ba2TeBr
1.0
4.426 0.000 0.000
0.000 4.445 0.000
-2.213 -2.222 7.925
Ba Br Te
2 1 1
Cartesian
2.213 2.222 7.250
2.213 0.000 3.253
2.213 2.222 0.641
0.000 2.222 4.705
```

Calculated values
SG: Imm2, No. 44
Theoretical density, g/cm³: 5.1
Total energy, eV per atom: -35.722
Density of states at the Fermi level, states/eV per cell: 2.54
Energy relative to the elements, uncorrected, meV/atom: -1768.9
Polymorph energy (0 for the lowest one), meV per atom: 130


3.
A plane-wave DFT calculation with meta-GGA SCAN was carried out for a crystal of YSbOs relaxed with PBEsol.

Structure (POSCAR):
```
YSbOs
1.0
3.399 0.000 0.000
0.000 4.570 0.000
0.000 -2.285 3.958
Os Sb Y
1 1 1
Cartesian
0.000 0.000 0.000
0.000 0.000 2.638
1.700 2.285 1.319
```

Calculated values
SG: P-6m2, No. 187
Theoretical density, g/cm³: 10.8
Total energy, eV per atom: -46.112
Density of states at the Fermi level, states/eV per cell: 2.19
Energy relative to the elements, uncorrected, meV/atom: -450.5


4.
A plane-wave DFT calculation with meta-GGA SCAN was carried out for a crystal of Sc2MoOF relaxed with PBEsol.

Structure (POSCAR):
```
Sc2MoOF
1.0
-3.565 1.705 -0.004
-1.148 -2.410 -4.067
-1.757 -3.668 2.670
Mo Sc F O
1 2 1 1
Cartesian
0.000 0.000 0.000
-0.879 -1.834 1.335
-0.574 -1.205 -2.034
-1.783 0.852 -0.002
-3.235 -2.187 -0.701
```

Calculated values
SG: P4/mmm, No. 123
Theoretical density, g/cm³: 3.9
Total energy, eV per atom: -14.780
Density of states at the Fermi level, states/eV per cell: 4.28
Energy relative to the elements, uncorrected, meV/atom: -153.4


5.
A plane-wave DFT calculation with meta-GGA SCAN was carried out for a crystal of NdAgP4O12 relaxed with PBEsol.

Structure (POSCAR):
```
NdAgP4O12
1.0
-0.139 -5.712 4.470
8.044 -3.802 -4.416
7.719 6.463 8.499
P O Nd Ag
16 48 4 4
Cartesian
12.906 -0.730 6.918
6.753 -6.510 0.876
9.555 -1.928 1.160
4.351 -2.018 5.199
11.274 -1.034 3.355
2.994 -4.951 2.885
2.718 -2.322 1.636
6.069 -1.123 7.393
8.871 3.458 7.678
5.104 0.175 3.384
10.521 -3.227 5.169
6.862 2.276 4.587
6.545 -2.651 -1.333
9.079 -0.401 9.886
8.762 -5.328 3.966
12.630 1.900 5.668
5.694 -0.399 8.657
6.240 -0.655 2.855
10.393 0.469 10.198
10.007 -4.355 4.161
7.854 0.309 10.366
4.483 -4.743 2.847
4.172 -0.635 4.400
4.202 -2.199 1.736
13.259 2.345 4.386
9.466 3.986 6.290
2.401 -2.656 0.112
7.638 4.207 8.100
13.223 -0.396 8.441
11.142 1.691 5.706
6.451 -2.200 0.096
6.980 -0.442 6.420
8.158 1.518 4.588
8.921 -0.486 0.843
2.206 -3.638 2.398
9.384 -2.397 5.698
7.771 -3.361 -1.813
6.703 -2.565 7.710
7.986 -7.259 0.453
11.453 -2.416 4.153
2.982 -2.634 5.225
9.174 -0.851 8.458
9.930 -2.652 -0.103
10.119 -0.264 3.912
5.506 -2.787 4.641
13.418 0.586 6.155
8.645 -2.609 2.133
9.081 -6.181 2.784
2.365 -5.397 4.167
5.617 1.303 4.392
6.159 -7.038 2.264
8.770 1.955 7.582
7.466 -4.570 3.965
12.642 -0.418 3.328
10.950 -1.535 1.863
11.423 -0.852 6.817
5.231 -3.520 -1.645
4.674 -1.516 6.690
11.425 -3.888 6.181
6.544 3.129 5.769
4.199 0.836 2.372
1.877 -1.183 2.136
6.855 -5.007 0.972
13.748 -1.868 6.418
13.771 -4.294 6.738
9.318 0.044 6.159
6.307 -3.096 2.394
1.853 1.242 1.816
10.018 -3.187 8.119
5.606 0.135 0.434
6.461 1.901 8.527
9.164 -4.953 0.026
```

Calculated values
SG: P2_1/c, No. 14
Theoretical density, g/cm³: 4.0
Total energy, eV per atom: -13.143
Density of states at the Fermi level, states/eV per cell: 0.00
Energy relative to the elements, uncorrected, meV/atom: -2514.0


6.
A plane-wave DFT calculation with meta-GGA SCAN was carried out for a crystal of LaNOF2 relaxed with PBEsol.

Structure (POSCAR):
```
LaNOF2
1.0
-0.971 1.710 -2.813
-3.895 0.002 1.346
0.672 3.573 1.940
F La N O
2 1 1 1
Cartesian
-1.948 0.001 0.673
0.336 1.787 0.970
-2.097 2.642 0.236
-0.486 0.855 -1.407
0.000 0.000 0.000
```

Calculated values
SG: P4/mmm, No. 123
Theoretical density, g/cm³: 5.9
Total energy, eV per atom: -14.321
Density of states at the Fermi level, states/eV per cell: 0.35
Energy relative to the elements, uncorrected, meV/atom: -1179.6
Polymorph energy (0 for the lowest one), meV per atom: 442